A relaxed PuZrSc crystal, computed with PBE-GGA.

- excess energy over the best structure of this formula in the dataset (eV per formula unit) = 2.03
- calculated density (Mg/m³) = 9.74
- magnetization (μB per cell) = 0.01
- crystal system = orthorhombic
- DFT formation energy (eV/atom) = 0.77

Geometry as CIF:
```
data_PuZrSc
_cell_length_a 2.754
_cell_length_b 16.262
_cell_length_c 5.791
_cell_angle_alpha 90.00
_cell_angle_beta 90.00
_cell_angle_gamma 90.00
_symmetry_space_group_name_H-M 'C m c 21'
_symmetry_Int_Tables_number 36
loop_
_symmetry_equiv_pos_as_xyz
'x,y,z'
'-x,-y,z+1/2'
'-x,y,z'
'x,-y,z+1/2'
'x+1/2,y+1/2,z'
'-x+1/2,-y+1/2,z+1/2'
'-x+1/2,y+1/2,z'
'x+1/2,-y+1/2,z+1/2'
loop_
_atom_site_label
_atom_site_type_symbol
_atom_site_fract_x
_atom_site_fract_y
_atom_site_fract_z
Pu1 Pu 0.000 0.247 0.000
Zr1 Zr 0.000 0.405 0.728
Sc1 Sc 0.000 0.406 0.239
```


A relaxed PuZrSc6 crystal, computed with PBE-GGA.

- excess energy over the best structure of this formula in the dataset (eV per formula unit) = 0.00
- calculated density (Mg/m³) = 5.21
- magnetization (μB per cell) = 11.52
- crystal system = orthorhombic
- DFT formation energy (eV/atom) = 0.03

Geometry as CIF:
```
data_PuZrSc6
_cell_length_a 5.186
_cell_length_b 6.523
_cell_length_c 11.401
_cell_angle_alpha 90.00
_cell_angle_beta 90.00
_cell_angle_gamma 90.00
_symmetry_space_group_name_H-M 'A m m 2'
_symmetry_Int_Tables_number 38
loop_
_symmetry_equiv_pos_as_xyz
'x,y,z'
'-x,-y,z'
'-x,y,z'
'x,-y,z'
'x,y+1/2,z+1/2'
'-x,-y+1/2,z+1/2'
'-x,y+1/2,z+1/2'
'x,-y+1/2,z+1/2'
loop_
_atom_site_label
_atom_site_type_symbol
_atom_site_fract_x
_atom_site_fract_y
_atom_site_fract_z
Pu1 Pu 0.000 0.000 0.000
Zr1 Zr 0.500 0.000 0.155
Sc1 Sc 0.000 0.000 0.496
Sc2 Sc 0.000 0.245 0.247
Sc3 Sc 0.500 0.000 0.661
Sc4 Sc 0.500 0.247 0.909
```


A relaxed PuZr2Sc7 crystal, computed with PBE-GGA.

- calculated density (Mg/m³) = 5.03
- magnetization (μB per cell) = 4.58
- crystal system = monoclinic
- DFT formation energy (eV/atom) = 0.18

Geometry as CIF:
```
data_PuZr2Sc7
_cell_length_a 7.986
_cell_length_b 3.087
_cell_length_c 10.677
_cell_angle_alpha 90.00
_cell_angle_beta 111.70
_cell_angle_gamma 90.00
_symmetry_space_group_name_H-M 'P 1 2/m 1'
_symmetry_Int_Tables_number 10
loop_
_symmetry_equiv_pos_as_xyz
'x,y,z'
'-x,-y,-z'
'-x,y,-z'
'x,-y,z'
loop_
_atom_site_label
_atom_site_type_symbol
_atom_site_fract_x
_atom_site_fract_y
_atom_site_fract_z
Pu1 Pu 0.000 0.000 0.000
Zr1 Zr 0.277 0.500 0.893
Sc1 Sc 0.099 0.500 0.312
Sc2 Sc 0.212 0.000 0.617
Sc3 Sc 0.408 0.500 0.193
Sc4 Sc 0.500 0.500 0.500
```


A relaxed PuZr4Sc6 crystal, computed with PBE-GGA.

- calculated density (Mg/m³) = 5.55
- magnetization (μB per cell) = 25.63
- crystal system = monoclinic
- DFT formation energy (eV/atom) = 0.15

Geometry as CIF:
```
data_PuZr4Sc6
_cell_length_a 5.245
_cell_length_b 8.656
_cell_length_c 23.189
_cell_angle_alpha 90.00
_cell_angle_beta 91.36
_cell_angle_gamma 90.00
_symmetry_space_group_name_H-M 'C 1 2/c 1'
_symmetry_Int_Tables_number 15
loop_
_symmetry_equiv_pos_as_xyz
'x,y,z'
'-x,-y,-z'
'-x,y,-z+1/2'
'x,-y,z+1/2'
'x+1/2,y+1/2,z'
'-x+1/2,-y+1/2,-z'
'-x+1/2,y+1/2,-z+1/2'
'x+1/2,-y+1/2,z+1/2'
loop_
_atom_site_label
_atom_site_type_symbol
_atom_site_fract_x
_atom_site_fract_y
_atom_site_fract_z
Pu1 Pu 0.000 0.194 0.250
Zr1 Zr 0.001 0.148 0.543
Zr2 Zr 0.030 0.455 0.881
Sc1 Sc 0.000 0.470 0.750
Sc2 Sc 0.000 0.500 0.000
Sc3 Sc 0.012 0.131 0.823
Sc4 Sc 0.020 0.200 0.398
```


A relaxed PuZrSc crystal, computed with PBE-GGA.

- excess energy over the best structure of this formula in the dataset (eV per formula unit) = 0.00
- calculated density (Mg/m³) = 8.71
- magnetization (μB per cell) = 22.42
- crystal system = monoclinic
- DFT formation energy (eV/atom) = 0.10

Geometry as CIF:
```
data_PuZrSc
_cell_length_a 14.184
_cell_length_b 3.239
_cell_length_c 6.488
_cell_angle_alpha 90.00
_cell_angle_beta 103.33
_cell_angle_gamma 90.00
_symmetry_space_group_name_H-M 'C 1 2/m 1'
_symmetry_Int_Tables_number 12
loop_
_symmetry_equiv_pos_as_xyz
'x,y,z'
'-x,-y,-z'
'-x,y,-z'
'x,-y,z'
'x+1/2,y+1/2,z'
'-x+1/2,-y+1/2,-z'
'-x+1/2,y+1/2,-z'
'x+1/2,-y+1/2,z'
loop_
_atom_site_label
_atom_site_type_symbol
_atom_site_fract_x
_atom_site_fract_y
_atom_site_fract_z
Pu1 Pu 0.000 0.000 0.244
Zr1 Zr 0.169 0.500 0.081
Sc1 Sc 0.169 0.500 0.587
```


A relaxed PuZr4Sc crystal, computed with PBE-GGA.

- excess energy over the best structure of this formula in the dataset (eV per formula unit) = 0.06
- calculated density (Mg/m³) = 7.76
- magnetization (μB per cell) = 11.31
- crystal system = orthorhombic
- DFT formation energy (eV/atom) = 0.05

Geometry as CIF:
```
data_PuZr4Sc
_cell_length_a 4.549
_cell_length_b 13.511
_cell_length_c 4.551
_cell_angle_alpha 90.00
_cell_angle_beta 90.00
_cell_angle_gamma 90.00
_symmetry_space_group_name_H-M 'C m m m'
_symmetry_Int_Tables_number 65
_symmetry_space_group_name_Hall '-C 2 2'
loop_
_atom_site_label
_atom_site_type_symbol
_atom_site_fract_x
_atom_site_fract_y
_atom_site_fract_z
Pu1 Pu 0.000 0.000 0.000
Zr1 Zr 0.000 0.167 0.500
Zr2 Zr 0.000 0.334 0.000
Sc1 Sc 0.000 0.500 0.500
```


A relaxed PuZr3Sc6 crystal, computed with PBE-GGA.

- calculated density (Mg/m³) = 5.45
- magnetization (μB per cell) = 22.94
- crystal system = orthorhombic
- DFT formation energy (eV/atom) = 0.10

Geometry as CIF:
```
data_PuZr3Sc6
_cell_length_a 8.686
_cell_length_b 19.202
_cell_length_c 5.749
_cell_angle_alpha 90.00
_cell_angle_beta 90.00
_cell_angle_gamma 90.00
_symmetry_space_group_name_H-M 'C m c 21'
_symmetry_Int_Tables_number 36
loop_
_symmetry_equiv_pos_as_xyz
'x,y,z'
'-x,-y,z+1/2'
'-x,y,z'
'x,-y,z+1/2'
'x+1/2,y+1/2,z'
'-x+1/2,-y+1/2,z+1/2'
'-x+1/2,y+1/2,z'
'x+1/2,-y+1/2,z+1/2'
loop_
_atom_site_label
_atom_site_type_symbol
_atom_site_fract_x
_atom_site_fract_y
_atom_site_fract_z
Pu1 Pu 0.000 0.151 0.000
Zr1 Zr 0.000 0.422 0.920
Zr2 Zr 0.173 0.131 0.527
Sc1 Sc 0.000 0.001 0.229
Sc2 Sc 0.000 0.301 0.211
Sc3 Sc 0.175 0.283 0.684
Sc4 Sc 0.182 0.439 0.451
```


A relaxed Pu2Zr5Sc5 crystal, computed with PBE-GGA.

- calculated density (Mg/m³) = 6.85
- magnetization (μB per cell) = 22.28
- crystal system = monoclinic
- DFT formation energy (eV/atom) = 0.04

Geometry as CIF:
```
data_Pu2Zr5Sc5
_cell_length_a 13.775
_cell_length_b 4.501
_cell_length_c 10.240
_cell_angle_alpha 90.00
_cell_angle_beta 116.82
_cell_angle_gamma 90.00
_symmetry_space_group_name_H-M 'C 1 2/m 1'
_symmetry_Int_Tables_number 12
loop_
_symmetry_equiv_pos_as_xyz
'x,y,z'
'-x,-y,-z'
'-x,y,-z'
'x,-y,z'
'x+1/2,y+1/2,z'
'-x+1/2,-y+1/2,-z'
'-x+1/2,y+1/2,-z'
'x+1/2,-y+1/2,z'
loop_
_atom_site_label
_atom_site_type_symbol
_atom_site_fract_x
_atom_site_fract_y
_atom_site_fract_z
Pu1 Pu 0.082 0.000 0.251
Zr1 Zr 0.000 0.500 0.000
Zr2 Zr 0.078 0.500 0.748
Zr3 Zr 0.168 0.500 0.499
Sc1 Sc 0.000 0.000 0.500
Sc2 Sc 0.164 0.000 0.001
Sc3 Sc 0.250 0.000 0.748
```


A relaxed PuZrSc crystal, computed with PBE-GGA.

- excess energy over the best structure of this formula in the dataset (eV per formula unit) = 0.25
- calculated density (Mg/m³) = 8.79
- magnetization (μB per cell) = 12.26
- crystal system = tetragonal
- DFT formation energy (eV/atom) = 0.18

Geometry as CIF:
```
data_PuZrSc
_cell_length_a 3.758
_cell_length_b 3.758
_cell_length_c 10.167
_cell_angle_alpha 90.00
_cell_angle_beta 90.00
_cell_angle_gamma 90.00
_symmetry_space_group_name_H-M 'I 4 m m'
_symmetry_Int_Tables_number 107
_symmetry_space_group_name_Hall 'I 4 -2'
loop_
_atom_site_label
_atom_site_type_symbol
_atom_site_fract_x
_atom_site_fract_y
_atom_site_fract_z
Pu1 Pu 0.000 0.000 0.000
Zr1 Zr 0.000 0.000 0.334
Sc1 Sc 0.000 0.000 0.669
```


A relaxed Pu2ZrSc crystal, computed with PBE-GGA.

- excess energy over the best structure of this formula in the dataset (eV per formula unit) = 0.11
- calculated density (Mg/m³) = 10.42
- magnetization (μB per cell) = 0.51
- crystal system = trigonal
- DFT formation energy (eV/atom) = 0.16

Geometry as CIF:
```
data_Pu2ZrSc
_cell_length_a 3.2867
_cell_length_b 3.2867
_cell_length_c 31.9052
_cell_angle_alpha 90.00
_cell_angle_beta 90.00
_cell_angle_gamma 120.00
_symmetry_space_group_name_H-M 'R 3 m'
_symmetry_Int_Tables_number 160
_symmetry_space_group_name_Hall 'R 3 -2"'
loop_
_atom_site_label
_atom_site_type_symbol
_atom_site_fract_x
_atom_site_fract_y
_atom_site_fract_z
Pu1 Pu 0.0000 0.0000 0.0000
Pu2 Pu 0.0000 0.0000 0.1647
Zr1 Zr 0.0000 0.0000 0.4155
Sc1 Sc 0.0000 0.0000 0.5834
```